1.
CaAl2TeRh | GGA-PBE | optimized geometry

Results
Total energy (eV per atom): -2.704
Space-group type: P4/mmm
ΔE_f (raw) (kJ/mol of formula units): 623
N(E_F) (states/eV per atom): 1.536
Total moment (μB/atom): 0.238

Geometry as POSCAR:
```
CaAl2TeRh
1.0
5.487 0.000 0.000
0.000 5.554 0.000
0.000 0.000 5.487
Te Rh Ca Al
1 1 1 2
direct
0.000 0.500 0.000
0.500 0.500 0.500
0.000 0.000 0.000
0.000 0.000 0.500
0.500 0.000 0.000
```

---

2.
CaAlTe2Rh | GGA-PBE | optimized geometry

Results
Total energy (eV per atom): -4.094
Space-group type: P4/mmm
ΔE_f (raw) (kJ/mol of formula units): -105
N(E_F) (states/eV per atom): 0.631
Total moment (μB/atom): 0.000

Geometry as POSCAR:
```
CaAlTe2Rh
1.0
5.438 0.000 0.000
0.000 4.553 0.000
0.000 0.000 5.438
Rh Te Al Ca
1 2 1 1
direct
0.000 0.500 0.000
0.500 0.000 0.000
0.000 0.000 0.500
0.000 0.000 0.000
0.500 0.500 0.500
```

---

3.
Ca2AlZn2Rh5 | GGA-PBE | optimized geometry

Results
Total energy (eV per atom): -5.167
Energy of formation (meV/atom): -462
Space-group type: P4/mbm
N(E_F) (states/eV per atom): 0.762
Total moment (μB/atom): 0.000

Geometry as POSCAR:
```
Ca2AlZn2Rh5
1.0
-2.188 -2.414 0.411
5.109 -5.741 -6.529
5.518 -3.711 7.581
Rh Zn Ca Al
10 4 4 2
direct
0.500 0.691 0.441
0.500 0.000 0.500
0.500 0.059 0.809
0.500 0.941 0.191
0.500 0.809 0.941
0.500 0.441 0.309
0.500 0.559 0.691
0.500 0.500 0.000
0.500 0.191 0.059
0.500 0.309 0.559
0.000 0.131 0.631
0.000 0.369 0.131
0.000 0.631 0.869
0.000 0.869 0.369
0.000 0.829 0.671
0.000 0.329 0.829
0.000 0.671 0.171
0.000 0.171 0.329
0.000 0.000 0.000
0.000 0.500 0.500
```